! PBE with a Hubbard U AcV2RhO8, optimized geometry; values from VASP
! Space-group type: P-3
! Size of the total moment, Bohr magnetons per cell: 0.0
! Energy, eV/atom: -7.4968
&SYSTEM
  ibrav = 0, nat = 12, ntyp = 4
/
ATOMIC_SPECIES
Ac 227.00 Ac.upf
O 16.00 O.upf
Rh 102.91 Rh.upf
V 50.94 V.upf
CELL_PARAMETERS angstrom
-1.357 1.091 5.216
2.252 -4.845 -1.300
6.290 2.632 1.085
ATOMIC_POSITIONS angstrom
Ac 0.000 0.000 0.000
O 6.061 -2.310 0.701
O 7.328 -0.239 1.956
O 4.904 0.390 0.863
O -0.143 -0.883 3.046
Rh 3.145 1.316 0.543
O 5.168 -1.245 3.294
O 1.124 1.188 4.301
V 5.780 -0.887 1.689
O 2.282 -1.512 4.139
V 1.405 -0.236 3.313
O 2.017 0.123 1.708